# VGe2OF GGA+U optimized geometry
# VASP energy = -23.05 eV for the cell shown
# V = 18.239 Å³/atom
# Space group = P4/mmm, No. 123
# Magnetic moment = 0.54 μB/atom
data_VGe2OF
_cell_length_a 4.899
_cell_length_b 3.800
_cell_length_c 4.899
_cell_angle_alpha 90.00
_cell_angle_beta 90.00
_cell_angle_gamma 90.00
_space_group_name_H-M_alt 'P 1'
_space_group_IT_number 1
loop_
_space_group_symop_operation_xyz
'x,y,z'
loop_
_atom_site_label
_atom_site_type_symbol
_atom_site_fract_x
_atom_site_fract_y
_atom_site_fract_z
O1 O 0.500 0.500 0.500
F1 F 0.000 0.500 0.000
Ge1 Ge 0.000 0.000 0.500
Ge2 Ge 0.500 0.000 0.000
V1 V 0.000 0.000 0.000